No. 1
Entry from the Alexandria database: an optimized crystal structure of FeRh2Br (GGA-PBE).

The structure in POSCAR format:
```
FeRh2Br
1.0
3.8388 -0.3474 0.2752
2.8260 2.6212 0.2752
0.9318 0.3179 6.2971
Br Fe Rh
1 1 2
Direct
0.7500 0.7500 0.7500
0.2500 0.2500 0.2500
0.9979 0.9979 0.0525
0.5021 0.5021 0.4475
```

Values from the calculation:
Distance to the lowest polymorph of the same formula (meV per atom): 95
E_form (uncorrected) (eV per atom): 0.392

No. 2
Entry from the Alexandria database: an optimized crystal structure of Mn3PtBr (GGA-PBE).

The structure in POSCAR format:
```
Mn3PtBr
1.0
4.9858 0.0000 0.0000
0.0000 4.9858 0.0000
0.0000 0.0000 4.9858
Mn Br Pt
3 1 1
Direct
0.0000 0.5000 0.0000
0.0000 0.0000 0.5000
0.5000 0.0000 0.0000
0.5000 0.5000 0.5000
0.0000 0.0000 0.0000
```

Values from the calculation:
Distance to the lowest polymorph of the same formula (meV per atom): 0
E_form (uncorrected) (eV per atom): 0.523

No. 3
Entry from the Alexandria database: an optimized crystal structure of CdGaPt6 (GGA-PBE).

The structure in POSCAR format:
```
CdGaPt6
1.0
4.0030 0.0000 0.0000
0.0000 4.0030 0.0000
0.0000 0.0000 7.9483
Cd Ga Pt
1 1 6
Direct
0.0000 0.0000 0.0000
0.0000 0.0000 0.5000
0.5000 0.5000 0.0000
0.5000 0.5000 0.5000
0.5000 0.0000 0.2610
0.5000 0.0000 0.7390
0.0000 0.5000 0.2610
0.0000 0.5000 0.7390
```

Values from the calculation:
ΔH_f (0 K) (eV/atom): -0.314

No. 4
Entry from the Alexandria database: an optimized crystal structure of InSb3Pt (GGA-PBE).

The structure in POSCAR format:
```
InSb3Pt
1.0
-2.9258 -1.6328 4.1454
3.3633 -4.0620 0.7738
2.9221 3.0405 3.2600
Sb Pt In
3 1 1
Direct
0.0000 0.5000 0.0000
0.0000 0.0000 0.5000
0.5000 0.0000 0.0000
0.0000 0.0000 0.0000
0.5000 0.5000 0.5000
```

Values from the calculation:
Distance to the lowest polymorph of the same formula (meV per atom): 0
E_form (uncorrected) (eV per atom): 0.322

No. 5
Entry from the Alexandria database: an optimized crystal structure of Rb2BiBr6F (GGA-PBE).

The structure in POSCAR format:
```
Rb2BiBr6F
1.0
7.5959 0.0000 0.0000
0.0000 7.5959 0.0000
3.7980 3.7980 5.9428
Br Bi Rb F
6 1 2 1
Direct
0.2350 0.2350 0.5299
0.7650 0.7650 0.4701
0.2550 0.2550 0.0000
0.7450 0.7450 0.0000
0.7450 0.2550 0.0000
0.2550 0.7450 0.0000
0.0000 0.0000 0.0000
0.7500 0.2500 0.5000
0.2500 0.7500 0.5000
0.5000 0.5000 0.0000
```

Values from the calculation:
E_form (uncorrected) (eV per atom): -1.013

No. 6
Entry from the Alexandria database: an optimized crystal structure of BaZnCdC2 (GGA-PBE).

The structure in POSCAR format:
```
BaZnCdC2
1.0
-4.2011 1.5200 -0.3905
-1.7075 -4.5369 0.7102
-0.1412 0.7451 4.4201
C Zn Ba Cd
2 1 1 1
Direct
0.0000 0.0000 0.5000
0.5000 0.0000 0.0000
0.0000 0.0000 0.0000
0.5000 0.5000 0.5000
0.0000 0.5000 0.0000
```

Values from the calculation:
ΔH_f (0 K) (eV/atom): 1.587

No. 7
Entry from the Alexandria database: an optimized crystal structure of ZnGeO6F6 (GGA-PBE).

The structure in POSCAR format:
```
ZnGeO6F6
1.0
0.4248 5.0729 -2.5863
-4.8471 -1.4589 -2.6422
-2.6092 2.0663 4.6397
Zn Ge O F
1 1 6 6
Direct
0.5000 0.5000 0.5000
0.0000 0.0000 0.0000
0.5387 0.4029 0.1447
0.1447 0.5387 0.4029
0.4029 0.1447 0.5387
0.4613 0.5971 0.8553
0.8553 0.4613 0.5971
0.5971 0.8553 0.4613
0.9110 0.2222 0.2169
0.2169 0.9110 0.2222
0.2222 0.2169 0.9110
0.0890 0.7778 0.7831
0.7831 0.0890 0.7778
0.7778 0.7831 0.0890
```

Values from the calculation:
E_form (uncorrected) (eV per atom): -0.191

No. 8
Entry from the Alexandria database: an optimized crystal structure of Mg8Tl2Hg (GGA-PBE).

The structure in POSCAR format:
```
Mg8Tl2Hg
1.0
-2.0722 -3.2076 -2.4449
-0.3820 -4.2011 5.8355
-5.7189 6.0970 1.0529
Mg Tl Hg
8 2 1
Direct
0.4099 0.5509 0.8199
0.6764 0.9146 0.3528
0.8608 0.8144 0.7216
0.9596 0.2666 0.9193
0.1392 0.1856 0.2784
0.3236 0.0854 0.6472
0.5901 0.4491 0.1801
0.0404 0.7334 0.0807
0.7815 0.3491 0.5629
0.2185 0.6509 0.4371
0.5000 0.0000 0.0000
```

Values from the calculation:
ΔH_f (0 K) (eV/atom): -0.057

No. 9
Entry from the Alexandria database: an optimized crystal structure of Na2Nd3ErSe6 (GGA-PBE).

The structure in POSCAR format:
```
Na2Nd3ErSe6
1.0
-5.1443 5.1204 0.2576
0.8324 -4.5860 5.5699
5.8888 4.1571 0.9704
Na Nd Er Se
2 3 1 6
Direct
0.3346 0.6654 0.0000
0.6654 0.3346 0.0000
0.1707 0.8293 0.5000
0.8293 0.1707 0.5000
0.5000 0.5000 0.5000
0.0000 0.0000 0.0000
0.9196 0.5947 0.7587
0.7587 0.7587 0.2471
0.0804 0.4053 0.2413
0.5947 0.9196 0.7587
0.2413 0.2413 0.7529
0.4053 0.0804 0.2413
```

Values from the calculation:
E_form (uncorrected) (eV per atom): -1.721

No. 10
Entry from the Alexandria database: an optimized crystal structure of SrReNi2 (GGA-PBE).

The structure in POSCAR format:
```
SrReNi2
1.0
0.0000 3.2474 3.2474
3.2474 0.0000 3.2474
3.2474 3.2474 0.0000
Re Ni Sr
1 2 1
Direct
0.5000 0.5000 0.5000
0.2500 0.2500 0.2500
0.7500 0.7500 0.7500
0.0000 0.0000 0.0000
```

Values from the calculation:
Distance to the lowest polymorph of the same formula (meV per atom): 687
ΔH_f (0 K) (eV/atom): 0.829

No. 11
Entry from the Alexandria database: an optimized crystal structure of RbCuBr2 (GGA-PBE).

The structure in POSCAR format:
```
RbCuBr2
1.0
-0.8076 -3.0376 4.4031
-3.8185 -3.8322 -0.0207
1.4096 -5.2230 -0.0213
Cu Br Rb
1 2 1
Direct
0.0000 0.0000 0.0000
0.2500 0.2500 0.2500
0.7500 0.7500 0.7500
0.5000 0.5000 0.5000
```

Values from the calculation:
Distance to the lowest polymorph of the same formula (meV per atom): 566
E_form (uncorrected) (eV per atom): -0.518

No. 12
Entry from the Alexandria database: an optimized crystal structure of La8CoRh3 (GGA-PBE).

The structure in POSCAR format:
```
La8CoRh3
1.0
-5.8909 -5.1670 3.1386
8.1540 -1.3124 1.7929
-3.9677 6.1865 2.7376
La Co Rh
8 1 3
Direct
0.2526 0.5052 0.7565
0.7474 0.4948 0.2435
0.2430 0.0012 0.7588
0.7582 0.0012 0.7588
0.7571 0.5142 0.7583
0.2429 0.4858 0.2417
0.2418 0.9988 0.2412
0.7570 0.9988 0.2412
0.0000 0.0000 0.0000
0.5000 0.0000 0.0000
0.5000 0.5000 0.0000
0.0000 0.5000 0.0000
```

Values from the calculation:
ΔH_f (0 K) (eV/atom): -0.452